The following is a GGA-PBE calculation of an optimized crystal structure of TbSmAl, from the Alexandria database.

Cell: 5.107 5.107 3.619 Å, 90.00 90.00 120.00°
Fractional positions:
Tb 0.000 0.000 0.000
Sm 0.333 0.667 0.436
Al 0.667 0.333 0.745

## Properties
The value obtained for the energy above the most stable polymorph in this dataset is 0.0839 eV/atom. The formation energy is -14.1 kJ per mole of atoms. The calculation puts the total energy at -4.51 eV/atom.

=====

The following is a GGA-PBE calculation of an optimized crystal structure of Tb9Sm4Al11, from the Alexandria database.

Cell: 13.668 13.668 3.393 Å, 90.00 90.00 110.91°
Fractional positions:
Tb 0.000 0.000 0.000
Tb 0.111 0.664 0.000
Tb 0.296 0.491 0.000
Tb 0.336 0.889 0.000
Tb 0.491 0.296 0.000
Tb 0.509 0.704 0.000
Tb 0.664 0.111 0.000
Tb 0.704 0.509 0.000
Tb 0.889 0.336 0.000
Sm 0.096 0.261 0.000
Sm 0.261 0.096 0.000
Sm 0.739 0.904 0.000
Sm 0.904 0.739 0.000
Al 0.088 0.463 0.500
Al 0.121 0.879 0.500
Al 0.305 0.305 0.500
Al 0.311 0.689 0.500
Al 0.463 0.088 0.500
Al 0.500 0.500 0.500
Al 0.537 0.912 0.500
Al 0.689 0.311 0.500
Al 0.695 0.695 0.500
Al 0.879 0.121 0.500
Al 0.912 0.537 0.500

## Properties
The formation energy is -30.9 kJ per mole of atoms. The calculation puts the total energy at -4.56 eV/atom.

=====

The following is a GGA-PBE calculation of an optimized crystal structure of Tb2Sm2Al, from the Alexandria database.

Cell: 8.978 8.978 8.978 Å, 32.04 32.04 32.04°
Fractional positions:
Tb 0.201 0.201 0.201
Tb 0.799 0.799 0.799
Sm 0.066 0.066 0.066
Sm 0.934 0.934 0.934
Al 0.500 0.500 0.500

## Properties
The value obtained for the energy above the most stable polymorph in this dataset is 0.4506 eV/atom. The formation energy is 44.0 kJ per mole of atoms. The calculation puts the total energy at -4.03 eV/atom.

=====

The following is a GGA-PBE calculation of an optimized crystal structure of TbSmAlTc, from the Alexandria database.

Cell: 5.036 5.036 5.036 Å, 60.00 60.00 60.00°
Fractional positions:
Tb 0.000 0.000 0.000
Sm 0.500 0.500 0.500
Al 0.750 0.750 0.750
Tc 0.250 0.250 0.250

## Properties
The formation energy is -7.9 kJ per mole of atoms. The calculation puts the total energy at -5.95 eV/atom.

=====

The following is a GGA-PBE calculation of an optimized crystal structure of TbSmTiAl, from the Alexandria database.

Cell: 5.193 5.193 5.193 Å, 60.00 60.00 60.00°
Fractional positions:
Tb 0.000 0.000 0.000
Sm 0.500 0.500 0.500
Ti 0.750 0.750 0.750
Al 0.250 0.250 0.250

## Properties
The formation energy is -2.7 kJ per mole of atoms. The calculation puts the total energy at -5.28 eV/atom.

=====

The following is a GGA-PBE calculation of an optimized crystal structure of TbSmYAl, from the Alexandria database.

Cell: 5.399 5.399 5.399 Å, 60.00 60.00 60.00°
Fractional positions:
Tb 0.000 0.000 0.000
Sm 0.750 0.750 0.750
Y 0.250 0.250 0.250
Al 0.500 0.500 0.500

## Properties
The value obtained for the energy above the most stable polymorph in this dataset is 0.1478 eV/atom. The formation energy is -4.6 kJ per mole of atoms. The calculation puts the total energy at -4.94 eV/atom.

=====

The following is a GGA-PBE calculation of an optimized crystal structure of TbSmYAl, from the Alexandria database.

Cell: 3.536 3.536 9.101 Å, 90.00 90.00 90.00°
Fractional positions:
Tb 0.000 0.000 0.000
Sm 0.500 0.500 0.712
Y 0.000 0.000 0.422
Al 0.500 0.500 0.212

## Properties
The value obtained for the energy above the most stable polymorph in this dataset is 0.0000 eV/atom. The formation energy is -18.8 kJ per mole of atoms. The calculation puts the total energy at -5.08 eV/atom.

=====

The following is a GGA-PBE calculation of an optimized crystal structure of TbSmAlZn, from the Alexandria database.

Cell: 5.150 5.150 5.150 Å, 60.00 60.00 60.00°
Fractional positions:
Tb 0.000 0.000 0.000
Sm 0.500 0.500 0.500
Al 0.250 0.250 0.250
Zn 0.750 0.750 0.750

## Properties
The value obtained for the energy above the most stable polymorph in this dataset is 0.0053 eV/atom. The formation energy is -34.5 kJ per mole of atoms. The calculation puts the total energy at -3.95 eV/atom.